# 1
Compound: Nd5Cu2Pd
Source: Alexandria via LeMat-Bulk
Functional: PBE-GGA
Structure: relaxed

a b c (Å): 9.539 9.539 9.539
angles (deg): 135.21 135.21 65.20
Element x y z (fractional)
Nd: 0.000 0.000 0.000
Nd: 0.020 0.520 0.839
Nd: 0.181 0.020 0.500
Nd: 0.319 0.819 0.839
Nd: 0.480 0.319 0.500
Nd: 0.500 0.500 0.000
Nd: 0.520 0.681 0.500
Nd: 0.681 0.181 0.161
Nd: 0.819 0.980 0.500
Nd: 0.980 0.480 0.161
Cu: 0.120 0.380 0.500
Cu: 0.380 0.880 0.261
Cu: 0.620 0.120 0.739
Cu: 0.880 0.620 0.500
Pd: 0.250 0.250 0.000
Pd: 0.750 0.750 0.000

Space-group type = I4/mcm, No. 140
ΔE_f = -248 meV/atom
Mass density = 7.47 g/cm³

=====

# 2
Compound: PmNdCuPd
Source: Alexandria via LeMat-Bulk
Functional: PBE-GGA
Structure: relaxed

a b c (Å): 4.617 3.885 10.783
angles (deg): 90.00 90.00 90.00
Element x y z (fractional)
Pm: 0.000 0.000 0.000
Pm: 0.000 0.500 0.500
Nd: 0.500 0.000 0.723
Nd: 0.500 0.500 0.223
Cu: 0.500 0.000 0.438
Cu: 0.500 0.500 0.938
Pd: 0.000 0.000 0.287
Pd: 0.000 0.500 0.787

Space-group type = Amm2, No. 38
ΔE_f = -503 meV/atom
Mass density = 7.89 g/cm³

=====

# 3
Compound: PmNdCuPd
Source: Alexandria via LeMat-Bulk
Functional: PBE-GGA
Structure: relaxed

a b c (Å): 7.207 7.207 7.207
angles (deg): 90.00 90.00 90.00
Element x y z (fractional)
Pm: 0.000 0.000 0.000
Pm: 0.000 0.500 0.500
Pm: 0.500 0.000 0.500
Pm: 0.500 0.500 0.000
Nd: 0.000 0.000 0.500
Nd: 0.000 0.500 0.000
Nd: 0.500 0.000 0.000
Nd: 0.500 0.500 0.500
Cu: 0.250 0.250 0.750
Cu: 0.250 0.750 0.250
Cu: 0.750 0.250 0.250
Cu: 0.750 0.750 0.750
Pd: 0.250 0.250 0.250
Pd: 0.250 0.750 0.750
Pd: 0.750 0.250 0.750
Pd: 0.750 0.750 0.250

Space-group type = F-43m, No. 216
ΔE_f = -449 meV/atom
Mass density = 8.15 g/cm³

=====

# 4
Compound: PrNdCuPd
Source: Alexandria via LeMat-Bulk
Functional: PBE-GGA
Structure: relaxed

a b c (Å): 4.627 3.915 10.898
angles (deg): 90.00 90.00 90.00
Element x y z (fractional)
Pr: 0.000 0.000 0.000
Pr: 0.000 0.500 0.500
Nd: 0.500 0.000 0.723
Nd: 0.500 0.500 0.223
Cu: 0.500 0.000 0.436
Cu: 0.500 0.500 0.936
Pd: 0.000 0.000 0.286
Pd: 0.000 0.500 0.786

Space-group type = Amm2, No. 38
ΔE_f = -482 meV/atom
Mass density = 7.66 g/cm³

=====

# 5
Compound: PrNdCuPd
Source: Alexandria via LeMat-Bulk
Functional: PBE-GGA
Structure: relaxed

a b c (Å): 7.259 7.259 7.259
angles (deg): 90.00 90.00 90.00
Element x y z (fractional)
Pr: 0.000 0.000 0.000
Pr: 0.000 0.500 0.500
Pr: 0.500 0.000 0.500
Pr: 0.500 0.500 0.000
Nd: 0.000 0.000 0.500
Nd: 0.000 0.500 0.000
Nd: 0.500 0.000 0.000
Nd: 0.500 0.500 0.500
Cu: 0.250 0.250 0.750
Cu: 0.250 0.750 0.250
Cu: 0.750 0.250 0.250
Cu: 0.750 0.750 0.750
Pd: 0.250 0.250 0.250
Pd: 0.250 0.750 0.750
Pd: 0.750 0.250 0.750
Pd: 0.750 0.750 0.250

Space-group type = F-43m, No. 216
ΔE_f = -422 meV/atom
Mass density = 7.90 g/cm³

=====

# 6
Compound: Nd2CuPd2Pt5
Source: Alexandria via LeMat-Bulk
Functional: PBE-GGA
Structure: relaxed

a b c (Å): 9.478 9.478 4.140
angles (deg): 90.00 90.00 90.00
Element x y z (fractional)
Nd: 0.175 0.325 0.000
Nd: 0.325 0.825 0.000
Nd: 0.675 0.175 0.000
Nd: 0.825 0.675 0.000
Cu: 0.000 0.000 0.000
Cu: 0.500 0.500 0.000
Pd: 0.125 0.625 0.000
Pd: 0.375 0.125 0.000
Pd: 0.625 0.875 0.000
Pd: 0.875 0.375 0.000
Pt: 0.000 0.500 0.500
Pt: 0.058 0.802 0.500
Pt: 0.198 0.058 0.500
Pt: 0.302 0.558 0.500
Pt: 0.442 0.302 0.500
Pt: 0.500 0.000 0.500
Pt: 0.558 0.698 0.500
Pt: 0.698 0.442 0.500
Pt: 0.802 0.942 0.500
Pt: 0.942 0.198 0.500

Space-group type = P4/mbm, No. 127
ΔE_f = -622 meV/atom
Mass density = 13.75 g/cm³

=====

# 7
Compound: NdCuSb2Pd4
Source: Alexandria via LeMat-Bulk
Functional: PBE-GGA
Structure: relaxed

a b c (Å): 9.035 9.035 9.035
angles (deg): 28.99 28.99 28.99
Element x y z (fractional)
Nd: 0.000 0.000 0.000
Cu: 0.500 0.500 0.500
Sb: 0.244 0.244 0.244
Sb: 0.756 0.756 0.756
Pd: 0.138 0.138 0.138
Pd: 0.401 0.401 0.401
Pd: 0.599 0.599 0.599
Pd: 0.862 0.862 0.862

Space-group type = R-3m, No. 166
Energy relative to the elements, uncorrected = -0.55 eV per atom
Mass density = 9.51 g/cm³

=====

# 8
Compound: Nd2CuSb3Pd4
Source: Alexandria via LeMat-Bulk
Functional: PBE-GGA
Structure: relaxed

a b c (Å): 4.518 4.518 10.565
angles (deg): 90.00 90.00 90.00
Element x y z (fractional)
Nd: 0.000 0.500 0.250
Nd: 0.500 0.000 0.750
Cu: 0.000 0.000 0.500
Sb: 0.000 0.500 0.862
Sb: 0.500 0.000 0.138
Sb: 0.500 0.500 0.500
Pd: 0.000 0.000 0.000
Pd: 0.000 0.500 0.619
Pd: 0.500 0.000 0.381
Pd: 0.500 0.500 0.000

Space-group type = P-4m2, No. 115
Energy relative to the elements, uncorrected = -0.77 eV per atom
Mass density = 8.80 g/cm³

=====

# 9
Compound: Nd3CuSi2Pd9
Source: Alexandria via LeMat-Bulk
Functional: PBE-GGA
Structure: relaxed

a b c (Å): 5.811 5.811 10.378
angles (deg): 90.00 90.00 120.00
Element x y z (fractional)
Nd: 0.000 0.000 0.000
Nd: 0.333 0.667 0.600
Nd: 0.667 0.333 0.400
Cu: 0.000 0.000 0.500
Si: 0.333 0.667 0.163
Si: 0.667 0.333 0.837
Pd: 0.000 0.500 0.000
Pd: 0.161 0.323 0.311
Pd: 0.161 0.839 0.311
Pd: 0.323 0.161 0.689
Pd: 0.500 0.000 0.000
Pd: 0.500 0.500 0.000
Pd: 0.677 0.839 0.311
Pd: 0.839 0.161 0.689
Pd: 0.839 0.677 0.689

Space-group type = P-3m1, No. 164
Energy relative to the elements, uncorrected = -0.60 eV per atom
Mass density = 8.26 g/cm³

=====

# 10
Compound: Nd2CuSi3Pd4
Source: Alexandria via LeMat-Bulk
Functional: PBE-GGA
Structure: relaxed

a b c (Å): 4.314 4.314 9.762
angles (deg): 90.00 90.00 90.00
Element x y z (fractional)
Nd: 0.000 0.500 0.242
Nd: 0.500 0.000 0.758
Cu: 0.500 0.500 0.000
Si: 0.000 0.000 0.000
Si: 0.000 0.500 0.626
Si: 0.500 0.000 0.374
Pd: 0.000 0.000 0.500
Pd: 0.000 0.500 0.870
Pd: 0.500 0.000 0.130
Pd: 0.500 0.500 0.500

Space-group type = P-4m2, No. 115
Energy relative to the elements, uncorrected = -0.81 eV per atom
Mass density = 7.88 g/cm³

=====

# 11
Compound: NdCuSi2Pd5
Source: Alexandria via LeMat-Bulk
Functional: PBE-GGA
Structure: relaxed

a b c (Å): 4.696 4.696 7.039
angles (deg): 90.00 90.00 90.00
Element x y z (fractional)
Nd: 0.000 0.000 0.000
Cu: 0.000 0.000 0.500
Si: 0.500 0.500 0.341
Si: 0.500 0.500 0.659
Pd: 0.000 0.500 0.281
Pd: 0.000 0.500 0.719
Pd: 0.500 0.000 0.281
Pd: 0.500 0.000 0.719
Pd: 0.500 0.500 0.000

Space-group type = P4/mmm, No. 123
Energy relative to the elements, uncorrected = -0.48 eV per atom
Mass density = 8.52 g/cm³

=====

# 12
Compound: NdCuSi2Pd
Source: Alexandria via LeMat-Bulk
Functional: PBE-GGA
Structure: relaxed

a b c (Å): 4.152 4.152 10.059
angles (deg): 90.00 90.00 90.00
Element x y z (fractional)
Nd: 0.000 0.000 0.000
Nd: 0.500 0.500 0.500
Cu: 0.000 0.500 0.750
Cu: 0.500 0.000 0.250
Si: 0.000 0.000 0.381
Si: 0.000 0.000 0.619
Si: 0.500 0.500 0.119
Si: 0.500 0.500 0.881
Pd: 0.000 0.500 0.250
Pd: 0.500 0.000 0.750

Space-group type = I-4m2, No. 119
Energy relative to the elements, uncorrected = -0.77 eV per atom
Mass density = 7.09 g/cm³